Material: Sr4AsCl2
Method: DFT, PBE
State: relaxed

Computed properties:
For the raw total energy, the calculation gives -3.44 eV/atom. For the total magnetic moment, the calculation gives 0.06 μB per formula unit. Its formation energy without anion corrections is -1289 meV/atom. Its theoretical density is 3.019 g/cm³.

Cell: 6.011 6.011 15.108 Å, 90.00 90.00 90.00°
Space group I4/mmm (No. 139)
Inequivalent atoms, fractional coordinates:
Sr1 0.000 0.000 0.211 (multiplicity 4)
Sr2 0.000 0.500 0.000 (multiplicity 4)
As1 0.000 0.000 0.000 (multiplicity 2)
Cl1 0.000 0.000 0.398 (multiplicity 4)

---

Material: SrAs2Cl8
Method: DFT, PBE
State: relaxed

Computed properties:
For the raw total energy, the calculation gives -3.42 eV/atom. For the total magnetic moment, the calculation gives 0.00 μB per formula unit. Its formation energy without anion corrections is -1078 meV/atom. Its theoretical density is 1.984 g/cm³.

Cell: 12.996 9.309 7.668 Å, 90.00 109.91 90.00°
Space group C2/m (No. 12)
Inequivalent atoms, fractional coordinates:
Sr1 0.000 0.000 0.000 (multiplicity 2)
As1 0.155 0.000 0.634 (multiplicity 4)
Cl1 0.102 0.191 0.792 (multiplicity 8)
Cl2 0.171 0.500 0.204 (multiplicity 4)
Cl3 0.194 0.000 0.321 (multiplicity 4)

---

Material: SrAs2Cl
Method: DFT, PBE
State: relaxed

Computed properties:
The value obtained for the energy above the most stable polymorph in this dataset is 1025 meV per atom. For the raw total energy, the calculation gives -3.22 eV/atom. For the total magnetic moment, the calculation gives 0.00 μB per formula unit. Its formation energy without anion corrections is -12 meV/atom. Its theoretical density is 4.438 g/cm³.

Cell: 7.419 7.419 7.419 Å, 90.00 90.00 90.00°
Space group Fm-3m (No. 225)
Inequivalent atoms, fractional coordinates:
Sr1 0.000 0.000 0.000 (multiplicity 4)
As1 0.250 0.250 0.250 (multiplicity 8)
Cl1 0.000 0.000 0.500 (multiplicity 4)

---

Material: SrAs2Cl
Method: DFT, PBE
State: relaxed

Computed properties:
The value obtained for the energy above the most stable polymorph in this dataset is 28 meV per atom. For the raw total energy, the calculation gives -4.22 eV/atom. For the total magnetic moment, the calculation gives 0.00 μB per formula unit. Its formation energy without anion corrections is -1009 meV/atom. Its theoretical density is 4.120 g/cm³.

Cell: 3.921 6.286 4.467 Å, 90.00 92.70 90.00°
Space group P2/m (No. 10)
Inequivalent atoms, fractional coordinates:
Sr1 0.000 0.000 0.000 (multiplicity 1)
As1 0.237 0.500 0.826 (multiplicity 2)
Cl1 0.500 0.000 0.500 (multiplicity 1)

---

Material: SrAs2Cl
Method: DFT, PBE
State: relaxed

Computed properties:
The value obtained for the energy above the most stable polymorph in this dataset is 12 meV per atom. For the raw total energy, the calculation gives -4.23 eV/atom. For the total magnetic moment, the calculation gives 0.00 μB per formula unit. Its formation energy without anion corrections is -1025 meV/atom. Its theoretical density is 4.226 g/cm³.

Cell: 12.638 3.756 4.588 Å, 90.00 99.94 90.00°
Space group C2/m (No. 12)
Inequivalent atoms, fractional coordinates:
Sr1 0.000 0.000 0.000 (multiplicity 2)
As1 0.234 0.500 0.162 (multiplicity 4)
Cl1 0.000 0.500 0.500 (multiplicity 2)

---

Material: SrAs2Cl
Method: DFT, PBE
State: relaxed

Computed properties:
The value obtained for the energy above the most stable polymorph in this dataset is 125 meV per atom. For the raw total energy, the calculation gives -4.12 eV/atom. For the total magnetic moment, the calculation gives 0.00 μB per formula unit. Its formation energy without anion corrections is -912 meV/atom. Its theoretical density is 4.263 g/cm³.

Cell: 3.904 6.229 8.743 Å, 90.00 90.00 90.00°
Space group Imm2 (No. 44)
Inequivalent atoms, fractional coordinates:
Sr1 0.000 0.000 0.000 (multiplicity 2)
As1 0.000 0.000 0.485 (multiplicity 2)
As2 0.000 0.500 0.810 (multiplicity 2)
Cl1 0.000 0.500 0.264 (multiplicity 2)

---

Material: SrAsCl6
Method: DFT, PBE
State: relaxed

Computed properties:
For the raw total energy, the calculation gives -3.33 eV/atom. For the total magnetic moment, the calculation gives 0.72 μB per formula unit. Its formation energy without anion corrections is -1157 meV/atom. Its theoretical density is 2.729 g/cm³.

Cell: 6.5941 6.5941 18.1915 Å, 90.00 90.00 120.00°
Space group R-3 (No. 148, hexagonal axes)
Inequivalent atoms, fractional coordinates:
Sr1 0.0000 0.0000 0.0000 (multiplicity 3)
As1 0.0000 0.0000 0.5000 (multiplicity 3)
Cl1 0.0197 0.3834 0.0908 (multiplicity 18)

---

Material: SrAsCl4
Method: DFT, PBE
State: relaxed

Computed properties:
For the raw total energy, the calculation gives -2.50 eV/atom. For the total magnetic moment, the calculation gives 4.66 μB per formula unit. Its formation energy without anion corrections is -217 meV/atom. Its theoretical density is 3.152 g/cm³.

Cell: 8.624 8.624 8.624 Å, 90.00 90.00 90.00°
Space group F-43m (No. 216)
Inequivalent atoms, fractional coordinates:
Sr1 0.000 0.000 0.000 (multiplicity 4)
As1 0.250 0.250 0.750 (multiplicity 4)
Cl1 0.125 0.125 0.375 (multiplicity 16)

---

Material: SrAs2Cl
Method: DFT, PBE
State: relaxed

Computed properties:
The value obtained for the energy above the most stable polymorph in this dataset is 1266 meV per atom. For the raw total energy, the calculation gives -2.98 eV/atom. For the total magnetic moment, the calculation gives 0.00 μB per formula unit. Its formation energy without anion corrections is 229 meV/atom. Its theoretical density is 4.422 g/cm³.

Cell: 3.5825 3.5825 27.6597 Å, 90.00 90.00 120.00°
Space group R-3m (No. 166, hexagonal axes)
Inequivalent atoms, fractional coordinates:
Sr1 0.0000 0.0000 0.0000 (multiplicity 3)
As1 0.0000 0.0000 0.2434 (multiplicity 6)
Cl1 0.0000 0.0000 0.5000 (multiplicity 3)

---

Material: SrAs3Cl
Method: DFT, PBE
State: relaxed

Computed properties:
The value obtained for the energy above the most stable polymorph in this dataset is 781 meV per atom. For the raw total energy, the calculation gives -2.50 eV/atom. For the total magnetic moment, the calculation gives 0.00 μB per formula unit. Its formation energy without anion corrections is 999 meV/atom. Its theoretical density is 3.014 g/cm³.

Cell: 5.765 5.765 5.765 Å, 90.00 90.00 90.00°
Space group Pm-3m (No. 221)
Inequivalent atoms, fractional coordinates:
Sr1 0.000 0.000 0.000 (multiplicity 1)
As1 0.000 0.000 0.500 (multiplicity 3)
Cl1 0.500 0.500 0.500 (multiplicity 1)

---

Material: SrAs2Cl
Method: DFT, PBE
State: relaxed

Computed properties:
The value obtained for the energy above the most stable polymorph in this dataset is 22 meV per atom. For the raw total energy, the calculation gives -4.22 eV/atom. For the total magnetic moment, the calculation gives 0.00 μB per formula unit. Its formation energy without anion corrections is -1015 meV/atom. Its theoretical density is 3.529 g/cm³.

Cell: 7.639 4.409 8.058 Å, 90.00 108.82 90.00°
Space group Cm (No. 8)
Inequivalent atoms, fractional coordinates:
Sr1 0.000 0.000 0.000 (multiplicity 2)
As1 0.265 0.500 0.288 (multiplicity 2)
As2 0.450 0.000 0.341 (multiplicity 2)
Cl1 0.270 0.000 0.814 (multiplicity 2)

---

Material: Sr6TeAs2Cl3
Method: DFT, PBE
State: relaxed

Computed properties:
For the raw total energy, the calculation gives -4.02 eV/atom. For the total magnetic moment, the calculation gives 0.00 μB per formula unit. Its formation energy without anion corrections is -1677 meV/atom. Its theoretical density is 3.869 g/cm³.

Cell: 19.481 4.563 8.940 Å, 90.00 100.75 90.00°
Space group C2/m (No. 12)
Inequivalent atoms, fractional coordinates:
Sr1 0.008 0.000 0.261 (multiplicity 4)
Sr2 0.170 0.500 0.108 (multiplicity 4)
Sr3 0.173 0.500 0.570 (multiplicity 4)
Te1 0.000 0.500 0.000 (multiplicity 2)
As1 0.166 0.000 0.335 (multiplicity 4)
Cl1 0.000 0.500 0.500 (multiplicity 2)
Cl2 0.166 0.000 0.837 (multiplicity 4)

---

Material: SrTiAsCl2
Method: DFT, PBE
State: relaxed

Computed properties:
For the raw total energy, the calculation gives -3.32 eV/atom. For the total magnetic moment, the calculation gives 2.93 μB per formula unit. Its formation energy without anion corrections is 268 meV/atom. Its theoretical density is 2.791 g/cm³.

Cell: 5.236 5.236 6.105 Å, 90.00 90.00 90.00°
Space group P4/mmm (No. 123)
Inequivalent atoms, fractional coordinates:
Sr1 0.000 0.000 0.000 (multiplicity 1)
Ti1 0.500 0.500 0.000 (multiplicity 1)
As1 0.000 0.000 0.500 (multiplicity 1)
Cl1 0.000 0.500 0.500 (multiplicity 2)

---

Material: SrTl2AsCl6
Method: DFT, PBE
State: relaxed

Computed properties:
For the raw total energy, the calculation gives -3.43 eV/atom. For the total magnetic moment, the calculation gives 1.00 μB per formula unit. Its formation energy without anion corrections is -1218 meV/atom. Its theoretical density is 3.817 g/cm³.

Cell: 6.115 7.475 8.562 Å, 115.12 103.56 91.37°
Space group P1 (No. 1)
Inequivalent atoms, fractional coordinates:
Sr1 0.000 0.000 0.000 (multiplicity 1)
Tl1 0.234 0.824 0.473 (multiplicity 1)
Tl2 0.788 0.342 0.498 (multiplicity 1)
As1 0.515 0.508 0.017 (multiplicity 1)
Cl1 0.161 0.604 0.887 (multiplicity 1)
Cl2 0.261 0.172 0.375 (multiplicity 1)
Cl3 0.334 0.144 0.872 (multiplicity 1)
Cl4 0.703 0.853 0.161 (multiplicity 1)
Cl5 0.757 0.798 0.625 (multiplicity 1)
Cl6 0.866 0.401 0.161 (multiplicity 1)